PBE+U Fe2Si2SbO9, relaxed; total DFT energy (no corrections) = -6.960 eV per atom; space group = No. 8; ρ = 3.790 g cm⁻³
1.0
2.6543 -4.5163 0.0000
2.6543 4.5163 0.0000
-1.6053 0.0000 7.9240
Fe Si Sb O
2 2 1 9
Cartesian
2.6543 3.0454 0.0000
2.6543 -3.0454 0.0000
3.6278 1.5488 2.7832
3.6278 -1.5488 2.7832
1.0240 0.0000 5.9342
0.1663 1.5540 6.8485
0.5537 0.0000 1.0331
2.3178 2.2891 3.4368
0.1663 -1.5540 6.8485
3.6390 1.7169 1.1594
2.8294 0.0000 6.8021
3.5770 0.0000 3.2810
2.3178 -2.2891 3.4368
3.6390 -1.7169 1.1594